29
Lattice="9.934 0.000 -3.512 -4.967 8.603 -3.512 0.000 0.000 10.536" Properties=species:S:1:pos:R:3 comment="PBE Er6Tm19Sc4, optimized geometry" ef_mev_per_atom=392 spacegroup="No. 197" pbc="T T T"
Er 1.193 4.301 6.111
Er 3.774 4.301 -2.599
Er -1.838 5.419 2.599
Er 6.805 3.184 0.913
Er 0.645 7.485 -0.913
Er 4.322 1.118 4.425
Tm 7.345 0.000 5.193
Tm -2.378 8.603 -1.681
Tm 1.295 2.242 -1.831
Tm 3.672 6.361 5.343
Tm -3.672 6.361 5.193
Tm -1.294 2.242 1.831
Tm 0.000 0.000 0.000
Tm 0.883 1.806 4.221
Tm 6.313 2.937 -3.861
Tm 3.431 5.666 0.215
Tm -3.844 6.935 0.709
Tm -0.693 6.797 6.449
Tm 4.354 1.667 -0.349
Tm 8.158 2.799 3.726
Tm 1.266 5.804 2.937
Tm 2.962 8.464 -2.803
Tm 3.312 0.138 7.238
Tm -0.573 4.604 -0.575
Tm 4.234 3.998 3.163
Sc 0.000 0.000 6.805
Sc 6.726 5.556 -5.780
Sc 1.759 3.046 1.244
Sc 6.416 0.000 -2.268

9
Lattice="4.892 -0.003 -0.001 -2.446 1.911 -5.144 0.005 0.478 27.103" Properties=species:S:1:pos:R:3 comment="PBE Er2Tm6Sc, optimized geometry" ef_mev_per_atom=37 polymorph_energy_ev_per_fu=0.00 spacegroup="No. 12" pbc="T T T"
Er 2.448 0.761 7.308
Er 0.003 1.625 14.650
Tm 0.002 1.063 9.758
Tm 2.449 1.323 12.200
Tm 2.450 1.889 17.071
Tm 2.446 0.241 2.435
Tm 0.001 0.497 4.887
Tm 0.004 2.146 19.523
Sc 0.000 0.000 0.000

7
Lattice="-4.756 1.800 -1.141 -1.435 -2.356 2.264 1.496 8.136 6.601" Properties=species:S:1:pos:R:3 comment="PBE ErTm2Sc4, optimized geometry" ef_mev_per_atom=173 polymorph_energy_ev_per_fu=0.00 spacegroup="No. 65" pbc="T T T"
Er -0.717 -1.178 1.132
Tm -2.264 1.921 0.565
Tm -2.431 5.659 7.160
Sc -2.789 2.461 3.606
Sc -0.217 3.294 6.102
Sc -1.906 5.119 4.119
Sc 0.278 2.486 2.763